[1]
This record from Alexandria via LeMat-Bulk describes crystalline Rb2BPb at its relaxed geometry. The functional is PBE-GGA.

Summary:
Calculated formation energy (eV/atom): 0.58
Symmetry: No. 122
N(E_F) (states/eV per cell): 3.679

The structure in POSCAR format:
```
Rb2BPb
1.0
-6.504 6.504 2.301
6.504 -6.504 2.301
6.504 6.504 -2.301
Rb B Pb
4 2 2
Cartesian
0.559 3.252 0.575
-3.252 5.945 1.726
-0.559 9.757 0.575
3.252 7.064 1.726
0.000 0.000 0.000
0.000 6.504 1.150
6.504 0.000 1.150
0.000 0.000 2.301
```

[2]
This record from Alexandria via LeMat-Bulk describes crystalline NpNi9Pt2 at its relaxed geometry. The functional is PBE-GGA.

Summary:
Calculated formation energy (eV/atom): -0.08
Symmetry: No. 166
N(E_F) (states/eV per cell): 22.495

The structure in POSCAR format:
```
NpNi9Pt2
1.0
2.405 1.388 7.725
-2.405 1.388 7.725
0.000 -2.777 7.725
Np Ni Pt
1 9 2
Cartesian
0.000 0.000 0.000
-1.218 -0.703 9.707
0.000 0.000 7.748
0.000 -1.406 13.467
-1.218 0.703 13.467
0.000 0.000 11.587
1.218 -0.703 9.707
0.000 1.406 9.707
0.000 0.000 15.426
1.218 0.703 13.467
0.000 0.000 3.352
0.000 0.000 19.822
```

[3]
This record from Alexandria via LeMat-Bulk describes crystalline Zn2Sn at its relaxed geometry. The functional is PBE-GGA.

Summary:
Calculated formation energy (eV/atom): 0.12
Symmetry: No. 227
N(E_F) (states/eV per cell): 3.825

The structure in POSCAR format:
```
Zn2Sn
1.0
0.000 3.897 3.897
3.897 0.000 3.897
3.897 3.897 0.000
Zn Sn
4 2
Cartesian
0.000 0.000 0.000
1.949 1.949 0.000
1.949 0.000 1.949
0.000 1.949 1.949
2.923 2.923 2.923
4.872 4.872 4.872
```

[4]
This record from Alexandria via LeMat-Bulk describes crystalline SmOsRu2 at its relaxed geometry. The functional is PBE-GGA.

Summary:
Calculated formation energy (eV/atom): 0.48
Symmetry: No. 13
N(E_F) (states/eV per cell): 19.796

The structure in POSCAR format:
```
SmOsRu2
1.0
6.225 0.000 0.000
0.000 6.928 0.000
-4.880 0.000 7.772
Sm Os Ru
4 4 8
Cartesian
-1.220 1.482 1.943
-3.660 5.446 5.829
-0.547 1.932 5.829
1.893 4.996 1.943
-3.660 2.495 5.829
-1.220 4.433 1.943
1.893 1.607 1.943
-0.547 5.321 5.829
0.000 3.464 0.000
-2.440 3.464 3.886
-4.008 0.876 7.628
-1.568 6.052 3.741
3.113 0.000 0.000
0.673 0.000 3.886
2.913 0.876 4.031
5.354 6.052 0.145
```